(1)
Sr4Cd2Au | PBE | optimized geometry

Output
- magnetic moment (Bohr magnetons per cell) = 0.00
- calculated density (kg/m³) = 4302
- SG = No. 139
- energy relative to the elements (eV per atom) = -0.270
- DOS at the Fermi energy (states/eV per atom) = 0.97

Unit cell a=6.0257 b=6.0257 c=9.2491 alpha=109.01 beta=109.01 gamma=90.00
Element x y z (fractional)
Sr: 0.8081 0.8081 0.6162
Sr: 0.1919 0.1919 0.3838
Sr: 0.0000 0.5000 0.0000
Sr: 0.5000 0.0000 0.0000
Au: 0.0000 0.0000 0.0000
Cd: 0.6018 0.6018 0.2036
Cd: 0.3982 0.3982 0.7964

***

(2)
Sr2CdAu | PBE | optimized geometry

Output
- magnetic moment (Bohr magnetons per cell) = 0.00
- calculated density (kg/m³) = 5546
- SG = No. 160
- energy relative to the elements (eV per atom) = -0.437
- DOS at the Fermi energy (states/eV per atom) = 0.76

Unit cell a=4.4866 b=4.4866 c=8.7170 alpha=75.09 beta=75.09 gamma=60.00
Element x y z (fractional)
Sr: 0.0721 0.0721 0.7838
Sr: 0.2613 0.2613 0.2161
Cd: 0.5004 0.5004 0.4987
Au: 0.6662 0.6662 0.0013

***

(3)
SrCdAu | PBE | optimized geometry

Output
- magnetic moment (Bohr magnetons per cell) = 0.00
- calculated density (kg/m³) = 7183
- SG = No. 216
- energy relative to the elements (eV per atom) = -0.499
- DOS at the Fermi energy (states/eV per atom) = 0.68

Unit cell a=5.0630 b=5.0630 c=5.0630 alpha=60.00 beta=60.00 gamma=60.00
Element x y z (fractional)
Au: 0.2500 0.2500 0.2500
Cd: 0.0000 0.0000 0.0000
Sr: 0.5000 0.5000 0.5000